HfMn3C: optimized geometry, PBE-GGA.

Calculated values
Total DFT energy (no corrections)   -6.6965 eV/atom
DFT formation energy   13.20 eV per formula unit
Energy above the most stable polymorph in this dataset   14.15 eV/f.u.
Space-group type   Pm-3m, No. 221

The structure in POSCAR format:
```
HfMn3C
1.0
4.740 0.000 0.000
0.000 4.740 0.000
0.000 0.000 4.740
Hf Mn C
1 3 1
Cartesian
0.000 0.000 0.000
0.000 0.000 2.370
0.000 2.370 0.000
2.370 0.000 0.000
2.370 2.370 2.370
```

Hf3MnC: optimized geometry, PBE-GGA.

Calculated values
Total DFT energy (no corrections)   -8.2019 eV/atom
DFT formation energy   7.24 eV per formula unit
Energy above the most stable polymorph in this dataset   7.62 eV/f.u.
Space-group type   Pm-3m, No. 221

The structure in POSCAR format:
```
Hf3MnC
1.0
4.673 0.000 0.000
0.000 4.673 0.000
0.000 0.000 4.673
Hf Mn C
3 1 1
Cartesian
0.000 0.000 2.336
0.000 2.336 0.000
2.336 0.000 0.000
0.000 0.000 0.000
2.336 2.336 2.336
```

HfMnC: optimized geometry, PBE-GGA.

Calculated values
Total DFT energy (no corrections)   -9.4320 eV/atom
DFT formation energy   0.05 eV per formula unit
Space-group type   Fmmm, No. 69

The structure in POSCAR format:
```
HfMnC
1.0
0.000 2.894 4.569
2.889 0.000 4.569
2.889 2.894 0.000
Hf Mn C
2 2 2
Cartesian
1.444 0.000 2.284
1.444 2.894 2.284
2.889 1.409 4.569
2.889 4.380 4.569
4.307 2.894 4.569
1.471 2.894 4.569
```

Hf2MnC: optimized geometry, PBE-GGA.

Calculated values
Total DFT energy (no corrections)   -9.8731 eV/atom
DFT formation energy   -1.19 eV per formula unit
Space-group type   R-3m, No. 166

The structure in POSCAR format:
```
Hf2MnC
1.0
1.599 0.923 7.223
-1.599 0.923 7.223
0.000 -1.846 7.223
Hf Mn C
2 1 1
Cartesian
0.000 0.000 4.931
0.000 0.000 16.738
0.000 0.000 0.000
0.000 0.000 10.835
```

HfMnC3: optimized geometry, PBE-GGA.

Calculated values
Total DFT energy (no corrections)   -6.8291 eV/atom
DFT formation energy   12.65 eV per formula unit
Energy above the most stable polymorph in this dataset   7.29 eV/f.u.
Space-group type   Pm-3m, No. 221

The structure in POSCAR format:
```
HfMnC3
1.0
4.202 0.000 0.000
0.000 4.202 0.000
0.000 0.000 4.202
Hf Mn C
1 1 3
Cartesian
0.000 0.000 0.000
2.101 2.101 2.101
0.000 0.000 2.101
0.000 2.101 0.000
2.101 0.000 0.000
```

HfMnC3: optimized geometry, PBE-GGA.

Calculated values
Total DFT energy (no corrections)   -8.2868 eV/atom
DFT formation energy   5.36 eV per formula unit
Energy above the most stable polymorph in this dataset   0.00 eV/f.u.
Space-group type   Pm-3m, No. 221

The structure in POSCAR format:
```
HfMnC3
1.0
3.731 0.000 0.000
0.000 3.731 0.000
0.000 0.000 3.731
Hf Mn C
1 1 3
Cartesian
0.000 0.000 0.000
1.865 1.865 1.865
0.000 1.865 1.865
1.865 0.000 1.865
1.865 1.865 0.000
```

Hf2MnC: optimized geometry, PBE-GGA.

Calculated values
Total DFT energy (no corrections)   -9.6966 eV/atom
DFT formation energy   -0.49 eV per formula unit
Space-group type   I-42d, No. 122

The structure in POSCAR format:
```
Hf2MnC
1.0
-4.213 4.213 1.842
4.213 -4.213 1.842
4.213 4.213 -1.842
Hf Mn C
4 2 2
Cartesian
0.767 2.106 0.461
-2.106 3.446 1.382
-0.767 6.319 0.461
2.106 4.980 1.382
4.213 0.000 0.921
0.000 0.000 1.842
0.000 0.000 0.000
0.000 4.213 0.921
```

HfPa2MnC4: optimized geometry, PBE-GGA.

Calculated values
Total DFT energy (no corrections)   -9.4990 eV/atom
DFT formation energy   -0.98 eV per formula unit
Space-group type   Cmcm, No. 63

The structure in POSCAR format:
```
HfPa2MnC4
1.0
1.679 -5.533 0.000
1.679 5.533 0.000
0.000 0.000 11.925
Hf Pa Mn C
2 4 2 8
Cartesian
1.679 4.236 8.944
1.679 -4.236 2.981
1.679 1.548 6.538
1.679 1.548 11.349
1.679 -1.548 0.576
1.679 -1.548 5.387
1.679 3.918 2.981
1.679 -3.918 8.944
0.000 0.000 0.000
0.000 0.000 5.962
1.679 2.468 1.708
1.679 2.468 4.254
1.679 0.629 8.944
1.679 -0.629 2.981
1.679 -2.468 7.671
1.679 -2.468 10.217
```

Hf2MnPdC: optimized geometry, PBE-GGA.

Calculated values
Total DFT energy (no corrections)   -9.2289 eV/atom
DFT formation energy   -2.65 eV per formula unit
Space-group type   P4/mmm, No. 123

The structure in POSCAR format:
```
Hf2MnPdC
1.0
4.533 0.000 0.000
0.000 4.533 0.000
0.000 0.000 3.689
Hf Mn Pd C
2 1 1 1
Cartesian
0.000 2.266 0.000
2.266 0.000 0.000
0.000 0.000 1.845
2.266 2.266 1.845
0.000 0.000 0.000
```

RbHf2MnC: optimized geometry, PBE-GGA.

Calculated values
Total DFT energy (no corrections)   -5.7950 eV/atom
DFT formation energy   10.29 eV per formula unit
Space-group type   P4/mmm, No. 123

The structure in POSCAR format:
```
RbHf2MnC
1.0
4.650 0.000 0.000
0.000 4.650 0.000
0.000 0.000 6.714
Rb Hf Mn C
1 2 1 1
Cartesian
0.000 0.000 0.000
0.000 2.325 3.357
2.325 0.000 3.357
0.000 0.000 3.357
2.325 2.325 0.000
```

HfMn2ReC: optimized geometry, PBE-GGA.

Calculated values
Total DFT energy (no corrections)   -8.8679 eV/atom
DFT formation energy   5.63 eV per formula unit
Space-group type   P4/mmm, No. 123

The structure in POSCAR format:
```
HfMn2ReC
1.0
4.681 0.000 0.000
0.000 4.681 0.000
0.000 0.000 3.911
Hf Mn Re C
1 2 1 1
Cartesian
0.000 0.000 0.000
0.000 2.341 1.955
2.341 0.000 1.955
2.341 2.341 1.955
2.341 2.341 0.000
```

HfMn2RhC: optimized geometry, PBE-GGA.

Calculated values
Total DFT energy (no corrections)   -9.2344 eV/atom
DFT formation energy   -1.30 eV per formula unit
Space-group type   P4/mmm, No. 123

The structure in POSCAR format:
```
HfMn2RhC
1.0
3.900 0.000 0.000
0.000 3.900 0.000
0.000 0.000 4.140
Hf Mn Rh C
1 2 1 1
Cartesian
0.000 0.000 0.000
0.000 1.950 2.070
1.950 0.000 2.070
1.950 1.950 0.000
1.950 1.950 2.070
```